First-principles (PBE) data for Nd4GaSe2Br after structural relaxation, as listed in Alexandria via LeMat-Bulk.

Computed properties:
Raw formation energy in eV/atom: -1.38
Magnetization in μB/cell: 0.00
Space-group type: P2/m
Crystal system: monoclinic
Uncorrected energy in eV/atom: -5.22

a = 4.2143 Å, b = 7.3854 Å, c = 7.5305 Å
α = 71.36°, β = 90.00°, γ = 90.00°
With the nearest neighbours (Å) after each atom.
Element x y z (fractional)
Nd (0.5000, 0.7627, 0.2260)  3 Se 2.92-3.11, 1 Ga 2.96, 2 Br 3.15
Nd (0.0000, 0.2488, 0.2390)  3 Se 2.95-3.06, 2 Ga 3.00, 1 Br 3.10
Se (0.5000, 0.0000, 0.5000)  6 Nd 3.06-3.11
Nd (0.5000, 0.2373, 0.7740)  3 Se 2.92-3.11, 1 Ga 2.96, 2 Br 3.15
Ga (0.5000, 0.5000, 0.0000)  6 Nd 2.96-3.00
Nd (0.0000, 0.7512, 0.7610)  3 Se 2.95-3.06, 2 Ga 3.00, 1 Br 3.10
Br (0.0000, 0.5000, 0.5000)  6 Nd 3.10-3.15
Se (0.0000, 0.0000, 0.0000)  6 Nd 2.92-2.95



First-principles (PBE) data for Nd8GaSi3Br4 after structural relaxation, as listed in Alexandria via LeMat-Bulk.

Computed properties:
Raw formation energy in eV/atom: -1.03
Magnetization in μB/cell: 0.00
Space-group type: R-3m
Crystal system: trigonal
Uncorrected energy in eV/atom: -5.04

a = 8.5909 Å, b = 8.8106 Å, c = 8.5906 Å
α = 119.19°, β = 120.00°, γ = 90.00°
With the nearest neighbours (Å) after each atom.
Element x y z (fractional)
Si (0.0000, 0.5000, 0.5000)  6 Nd 2.92-2.93
Nd (0.2393, 0.7149, 0.4786)  2 Si 2.93, 1 Ga 2.94, 3 Br 3.22-3.24
Br (0.0000, 0.0000, 0.0000)  6 Nd 3.24-3.25
Br (0.5000, 0.0000, 0.5000)  6 Nd 3.24-3.25
Nd (0.2626, 0.2881, 0.5252)  3 Si 2.92, 3 Br 3.25
Ga (0.0000, 0.5000, 0.0000)  6 Nd 2.94
Nd (0.2635, 0.2852, 0.0242)  2 Si 2.93, 1 Ga 2.94, 3 Br 3.23-3.24
Si (0.5000, 0.5000, 0.0000)  6 Nd 2.92-2.93
Nd (0.7608, 0.2852, 0.0242)  2 Si 2.93, 1 Ga 2.94, 3 Br 3.23-3.24
Br (0.5000, 0.0000, 0.0000)  6 Nd 3.22-3.23
Nd (0.7365, 0.7148, 0.9758)  2 Si 2.93, 1 Ga 2.94, 3 Br 3.23-3.24
Br (0.0000, 0.0000, 0.5000)  6 Nd 3.24-3.25
Si (0.5000, 0.5000, 0.5000)  6 Nd 2.92-2.93
Nd (0.2392, 0.7148, 0.9758)  2 Si 2.93, 1 Ga 2.94, 3 Br 3.23-3.24
Nd (0.7607, 0.2851, 0.5214)  2 Si 2.93, 1 Ga 2.94, 3 Br 3.22-3.24
Nd (0.7374, 0.7119, 0.4748)  3 Si 2.92, 3 Br 3.25



First-principles (PBE) data for Nd8Ga3SiBr4 after structural relaxation, as listed in Alexandria via LeMat-Bulk.

Computed properties:
Raw formation energy in eV/atom: -0.94
Magnetization in μB/cell: 0.00
Space-group type: R-3m
Crystal system: trigonal
Uncorrected energy in eV/atom: -4.65

a = 8.6311 Å, b = 8.7579 Å, c = 8.6263 Å
α = 119.48°, β = 120.02°, γ = 90.00°
With the nearest neighbours (Å) after each atom.
Element x y z (fractional)
Ga (0.0000, 0.5000, 0.5000)  6 Nd 2.97-2.98
Nd (0.7437, 0.7213, 0.9826)  1 Si 2.94, 2 Ga 2.97, 3 Br 3.19-3.22
Nd (0.7611, 0.2788, 0.5223)  1 Si 2.94, 2 Ga 2.97, 3 Br 3.19-3.22
Br (0.0000, 0.0000, 0.0000)  6 Nd 3.18-3.19
Br (0.5000, 0.0000, 0.5000)  6 Nd 3.18-3.19
Br (0.5000, 0.0000, 0.0000)  6 Nd 3.22
Nd (0.7612, 0.2787, 0.0174)  1 Si 2.94, 2 Ga 2.97, 3 Br 3.19-3.22
Ga (0.5000, 0.5000, 0.0000)  6 Nd 2.97-2.98
Ga (0.5000, 0.5000, 0.5000)  6 Nd 2.97-2.98
Nd (0.2388, 0.7213, 0.9826)  1 Si 2.94, 2 Ga 2.97, 3 Br 3.19-3.22
Nd (0.2579, 0.2738, 0.5157)  3 Ga 2.98, 3 Br 3.18
Nd (0.2389, 0.7212, 0.4777)  1 Si 2.94, 2 Ga 2.97, 3 Br 3.19-3.22
Br (0.0000, 0.0000, 0.5000)  6 Nd 3.18-3.19
Si (0.0000, 0.5000, 0.0000)  6 Nd 2.94
Nd (0.7421, 0.7262, 0.4843)  3 Ga 2.98, 3 Br 3.18
Nd (0.2563, 0.2787, 0.0174)  1 Si 2.94, 2 Ga 2.97, 3 Br 3.19-3.22